This record from the Alexandria database describes a geometry-optimized KFeI3 structure. The functional is PBE.

The structure in extended XYZ format:
```
5
Lattice="6.513 0.000 0.000 0.000 6.513 0.000 0.000 0.000 6.513" Properties=species:S:1:pos:R:3 pbc="T T T"
K 0.000 0.000 0.000
Fe 3.257 3.257 3.257
I 0.000 0.000 3.257
I 0.000 3.257 0.000
I 3.257 0.000 0.000
```

Summary:
**Space group**: No. 221
**Size of the total moment**: 4.5 μB per formula unit
**Uncorrected formation energy**: 0.552 eV per atom